[1]
# RbNdGe2Br8

An optimized crystal structure of RbNdGe2Br8 (PBE, the Alexandria database).

Cell: 7.3864 6.7603 9.8978 Å, 90.26 87.01 84.57°
With the nearest neighbours (Å) after each atom.
Atoms (fractional coordinates):
Rb (0.0000, 0.0000, 0.5000)  6 Br 3.46-3.53
Nd (0.0000, 0.0000, 0.0000)  6 Br 2.88-2.97
Ge (0.4483, 0.4460, 0.7801)  2 Br 2.45-2.60
Ge (0.5517, 0.5540, 0.2199)  2 Br 2.45-2.60
Br (0.1840, 0.7705, 0.2046)  1 Nd 2.88, 1 Ge 2.97
Br (0.6801, 0.7649, 0.0249)  1 Ge 2.60
Br (0.8590, 0.2725, 0.2185)  1 Ge 2.82, 1 Nd 2.92
Br (0.8160, 0.2295, 0.7954)  1 Nd 2.88, 1 Ge 2.97
Br (0.3199, 0.2351, 0.9751)  1 Ge 2.60
Br (0.1410, 0.7275, 0.7815)  1 Ge 2.82, 1 Nd 2.92
Br (0.6280, 0.7401, 0.4181)  1 Ge 2.45
Br (0.3720, 0.2599, 0.5819)  1 Ge 2.45

Energy: -0.2596 Ry per atom
Symmetry: No. 2
DOS at the Fermi energy: 0.0 states/eV per cell



[2]
# Nd8Ge3RhBr4

An optimized crystal structure of Nd8Ge3RhBr4 (PBE, the Alexandria database).

Cell: 8.5940 8.8236 8.5949 Å, 119.15 120.00 90.00°
With the nearest neighbours (Å) after each atom.
Atoms (fractional coordinates):
Nd (0.2311, 0.7084, 0.9773)  1 Rh 2.85, 2 Ge 2.94
Nd (0.2313, 0.7086, 0.4626)  1 Rh 2.85, 2 Ge 2.94
Nd (0.2609, 0.2826, 0.5218)  3 Ge 2.94, 3 Br 3.23
Nd (0.7463, 0.7084, 0.9773)  1 Rh 2.85, 2 Ge 2.94
Nd (0.2537, 0.2916, 0.0227)  1 Rh 2.85, 2 Ge 2.94
Nd (0.7391, 0.7174, 0.4782)  3 Ge 2.94, 3 Br 3.23
Nd (0.7687, 0.2914, 0.5374)  1 Rh 2.85, 2 Ge 2.94
Nd (0.7689, 0.2916, 0.0227)  1 Rh 2.85, 2 Ge 2.94
Ge (0.5000, 0.5000, 0.0000)  6 Nd 2.94
Ge (0.5000, 0.5000, 0.5000)  6 Nd 2.94
Ge (0.0000, 0.5000, 0.5000)  6 Nd 2.94
Rh (0.0000, 0.5000, 0.0000)  6 Nd 2.85
Br (0.5000, 0.0000, 0.0000)  6 Nd 3.32-3.33
Br (0.5000, 0.0000, 0.5000)  6 Nd 3.23-3.24
Br (0.0000, 0.0000, 0.0000)  6 Nd 3.23-3.24
Br (0.0000, 0.0000, 0.5000)  6 Nd 3.23-3.24

Energy: -0.3839 Ry per atom
Symmetry: No. 166
DOS at the Fermi energy: 10.9 states/eV per cell



Number 1: magnetization 0.000 μB per cell, raw formation energy -1.169 eV/atom. Number 2: magnetization 0.000 μB per cell, raw formation energy -1.096 eV/atom.